A PBEsol-optimized structure of AgBS2, computed with SCAN.

The structure in CIF format:
```
data_AgBS2
_chemical_formula_sum 'Ag3 B3 S6'
_space_group_name_H-M_alt 'R -3 m'
_space_group_IT_number 166
_space_group_name_Hall '-R 3 2"'
_cell_length_a 3.1205
_cell_length_b 3.1205
_cell_length_c 20.9153
_cell_angle_alpha 90.00
_cell_angle_beta 90.00
_cell_angle_gamma 120.00
loop_
_atom_site_label
_atom_site_type_symbol
_atom_site_fract_x
_atom_site_fract_y
_atom_site_fract_z
_atom_site_occupancy
Ag1 Ag 0.0000 0.0000 0.0000 1
B1 B 0.0000 0.0000 0.5000 1
S1 S 0.0000 0.0000 0.1122 1
```

Results
Uncorrected formation energy in meV/atom: 195